VASP calculation (PBE) on a relaxed structure of GeBiB2F.

Results
DOS(E_F): 0.859 states/eV/f.u.
electronic total energy: -18.02 eV/cell
symmetry: P4/mmm
E_form (uncorrected): 5.70 eV/f.u.

a = 4.473 Å, b = 4.284 Å, c = 4.473 Å
α = 90.00°, β = 90.00°, γ = 90.00°
Element x y z (fractional)
B  0.500  0.000  0.000
B  0.000  0.000  0.500
Ge  0.000  0.500  0.000
Bi  0.500  0.500  0.500
F  0.000  0.000  0.000